# TaAsN3

A relaxed structure of TaAsN3 (PBE, Alexandria via LeMat-Bulk).

The uncorrected energy is -7.28 eV/atom. The size of the total moment comes out at 0.0000 μB/atom.

Cell: 3.6994 3.6994 3.6994 Å, 90.00 90.00 90.00°
Positions (direct):
Ta 0.0000 0.0000 0.0000
As 0.5000 0.5000 0.5000
N 0.0000 0.5000 0.5000
N 0.5000 0.0000 0.5000
N 0.5000 0.5000 0.0000